YCuSi, PBEsol geometry, DFT SCAN; total magnetic moment = 0.000 μB per atom; calculated density = 5.82 g cm⁻³; raw formation energy = -21 kJ per mole of atoms; space-group type = No. 42; Fermi-level density of states = 0.5453 states/eV per atom
1.0
3.159 0.045 0.000
-0.039 3.160 0.000
-1.560 -1.602 5.158
Y Cu Si
1 1 1
Cartesian
0.000 0.000 3.444
0.000 0.000 0.316
1.560 1.602 1.399